(1)
{"formula": "Rb2H2F5", "functional": "GGA-PBE", "state": "relaxed", "polymorph_energy_mev_per_atom": 0, "lattice_angstrom": [[6.670, -2.180, 0.000], [6.670, 2.180, 0.000], [-4.555, 0.000, 7.019]], "species": ["Rb", "Rb", "H", "H", "F", "F", "F", "F", "F"], "frac_coords": [[0.031, 0.031, 0.264], [0.969, 0.969, 0.736], [0.236, 0.236, 0.699], [0.764, 0.764, 0.301], [0.149, 0.149, 0.672], [0.335, 0.335, 0.710], [0.500, 0.500, 0.000], [0.665, 0.665, 0.290], [0.851, 0.851, 0.328]]}


(2)
{"formula": "Rb2HF3", "functional": "GGA-PBE", "state": "relaxed", "dos_ef_per_ev_cell": 0.0, "total_energy_ev_per_atom": -4.090, "lattice_angstrom": [[6.621, -2.529, 0.000], [6.621, 2.529, 0.000], [-4.835, 0.000, 6.762]], "species": ["Rb", "Rb", "Rb", "Rb", "H", "H", "F", "F", "F", "F", "F", "F"], "frac_coords": [[0.052, 0.685, 0.932], [0.315, 0.948, 0.568], [0.685, 0.052, 0.432], [0.948, 0.315, 0.068], [0.429, 0.571, 0.750], [0.571, 0.429, 0.250], [0.223, 0.553, 0.267], [0.237, 0.763, 0.750], [0.447, 0.777, 0.233], [0.553, 0.223, 0.767], [0.763, 0.237, 0.250], [0.777, 0.447, 0.733]]}


(3)
{"formula": "Rb4H3F4", "functional": "GGA-PBE", "state": "relaxed", "dos_ef_per_ev_cell": 0.0, "total_energy_ev_per_atom": -3.237, "lattice_angstrom": [[11.352, 0.000, 0.000], [0.000, 2.429, 4.251], [0.000, -2.429, 4.251]], "species": ["Rb", "Rb", "Rb", "Rb", "H", "H", "H", "F", "F", "F", "F"], "frac_coords": [[0.000, 0.000, 0.000], [0.249, 0.669, 0.669], [0.500, 0.002, 0.002], [0.751, 0.669, 0.669], [0.000, 0.329, 0.329], [0.362, 0.337, 0.337], [0.638, 0.337, 0.337], [0.000, 0.670, 0.670], [0.250, 0.001, 0.001], [0.500, 0.670, 0.670], [0.750, 0.001, 0.001]]}


(4)
{"formula": "Rb3H2F", "functional": "GGA-PBE", "state": "relaxed", "dos_ef_per_ev_cell": 0.0, "total_energy_ev_per_atom": -2.915, "lattice_angstrom": [[-2.090, 2.090, 8.887], [2.090, -2.090, 8.887], [2.090, 2.090, -8.887]], "species": ["Rb", "Rb", "Rb", "H", "H", "F"], "frac_coords": [[0.000, 0.000, 0.000], [0.337, 0.337, 0.000], [0.663, 0.663, 0.000], [0.165, 0.165, 0.000], [0.835, 0.835, 0.000], [0.500, 0.500, 0.000]]}


(5)
{"formula": "Rb8HF6", "functional": "GGA-PBE", "state": "relaxed", "dos_ef_per_ev_cell": 1.1, "total_energy_ev_per_atom": -3.501, "lattice_angstrom": [[10.752, 0.000, 0.000], [-5.376, 9.311, 0.000], [0.000, 0.000, 4.230]], "species": ["Rb", "Rb", "Rb", "Rb", "Rb", "Rb", "Rb", "Rb", "H", "F", "F", "F", "F", "F", "F"], "frac_coords": [[0.038, 0.693, 0.245], [0.307, 0.346, 0.245], [0.333, 0.667, 0.747], [0.346, 0.038, 0.755], [0.654, 0.962, 0.245], [0.667, 0.333, 0.253], [0.693, 0.654, 0.755], [0.962, 0.307, 0.755], [0.000, 0.000, 0.000], [0.136, 0.476, 0.252], [0.340, 0.864, 0.252], [0.476, 0.340, 0.748], [0.524, 0.660, 0.252], [0.660, 0.136, 0.748], [0.864, 0.524, 0.748]]}


(6)
{"formula": "Rb6H5F", "functional": "GGA-PBE", "state": "relaxed", "dos_ef_per_ev_cell": 0.0, "total_energy_ev_per_atom": -2.625, "lattice_angstrom": [[3.664, -6.346, 0.000], [3.664, 6.346, 0.000], [-2.446, 0.000, 6.896]], "species": ["Rb", "Rb", "Rb", "Rb", "Rb", "Rb", "H", "H", "H", "H", "H", "F"], "frac_coords": [[0.082, 0.408, 0.748], [0.244, 0.244, 0.257], [0.408, 0.082, 0.748], [0.592, 0.918, 0.252], [0.756, 0.756, 0.743], [0.918, 0.592, 0.252], [0.166, 0.834, 0.000], [0.333, 0.667, 0.500], [0.500, 0.500, 0.000], [0.667, 0.333, 0.500], [0.834, 0.166, 0.000], [0.000, 0.000, 0.500]]}


(7)
{"formula": "RbReH2F", "functional": "GGA-PBE", "state": "relaxed", "dos_ef_per_ev_cell": 0.9, "total_energy_ev_per_atom": -2.892, "lattice_angstrom": [[5.069, 0.000, 0.000], [0.000, 5.069, 0.000], [0.000, 0.000, 4.935]], "species": ["Rb", "Re", "H", "H", "F"], "frac_coords": [[0.000, 0.000, 0.000], [0.500, 0.500, 0.000], [0.000, 0.500, 0.500], [0.500, 0.000, 0.500], [0.000, 0.000, 0.500]]}


(8)
{"formula": "Rb2HRhF6", "functional": "GGA-PBE", "state": "relaxed", "dos_ef_per_ev_cell": 5.4, "total_energy_ev_per_atom": -4.172, "lattice_angstrom": [[-2.676, 2.676, 5.065], [2.676, -2.676, 5.065], [2.676, 2.676, -5.065]], "species": ["Rb", "Rb", "H", "Rh", "F", "F", "F", "F", "F", "F"], "frac_coords": [[0.250, 0.750, 0.500], [0.750, 0.250, 0.500], [0.000, 0.000, 0.000], [0.500, 0.500, 0.000], [0.228, 0.228, 0.457], [0.228, 0.772, 0.000], [0.302, 0.302, 0.000], [0.698, 0.698, 0.000], [0.772, 0.228, 0.000], [0.772, 0.772, 0.543]]}


(9)
{"formula": "RbHRuF6", "functional": "GGA-PBE", "state": "relaxed", "dos_ef_per_ev_cell": 4.6, "total_energy_ev_per_atom": -4.736, "lattice_angstrom": [[5.133, 0.000, 0.000], [2.423, 4.884, 0.000], [0.529, 0.479, 5.778]], "species": ["Rb", "H", "Ru", "F", "F", "F", "F", "F", "F"], "frac_coords": [[0.000, 0.000, 0.000], [0.550, 0.111, 0.526], [0.559, 0.606, 0.527], [0.158, 0.823, 0.470], [0.451, 0.482, 0.834], [0.554, 0.281, 0.393], [0.557, 0.934, 0.661], [0.660, 0.732, 0.218], [0.955, 0.390, 0.592]]}


(10)
{"formula": "Rb2HSF6", "functional": "GGA-PBE", "state": "relaxed", "dos_ef_per_ev_cell": 0.0, "total_energy_ev_per_atom": -4.030, "lattice_angstrom": [[-3.220, 3.220, 4.053], [3.220, -3.220, 4.053], [3.220, 3.220, -4.053]], "species": ["Rb", "Rb", "H", "S", "F", "F", "F", "F", "F", "F"], "frac_coords": [[0.250, 0.750, 0.500], [0.750, 0.250, 0.500], [0.000, 0.000, 0.000], [0.500, 0.500, 0.000], [0.143, 0.143, 0.000], [0.300, 0.300, 0.600], [0.300, 0.700, 0.000], [0.700, 0.300, 0.000], [0.700, 0.700, 0.400], [0.857, 0.857, 0.000]]}


(11)
{"formula": "RbSbH2F8", "functional": "GGA-PBE", "state": "relaxed", "dos_ef_per_ev_cell": 0.0, "total_energy_ev_per_atom": -4.451, "lattice_angstrom": [[5.004, 0.000, 0.000], [-1.829, 4.730, 0.000], [-0.065, -1.294, 7.981]], "species": ["Rb", "Sb", "H", "H", "F", "F", "F", "F", "F", "F", "F", "F"], "frac_coords": [[0.000, 0.000, 0.000], [0.000, 0.000, 0.500], [0.449, 0.685, 0.207], [0.551, 0.315, 0.793], [0.224, 0.766, 0.488], [0.225, 0.205, 0.337], [0.254, 0.258, 0.687], [0.329, 0.664, 0.107], [0.671, 0.336, 0.893], [0.746, 0.742, 0.313], [0.775, 0.795, 0.663], [0.776, 0.234, 0.512]]}


(12)
{"formula": "Rb2SbHF6", "functional": "GGA-PBE", "state": "relaxed", "dos_ef_per_ev_cell": 0.0, "total_energy_ev_per_atom": -4.153, "lattice_angstrom": [[-2.796, 2.796, 5.251], [2.796, -2.796, 5.251], [2.796, 2.796, -5.251]], "species": ["Rb", "Rb", "Sb", "H", "F", "F", "F", "F", "F", "F"], "frac_coords": [[0.250, 0.750, 0.500], [0.750, 0.250, 0.500], [0.000, 0.000, 0.000], [0.500, 0.500, 0.000], [0.208, 0.208, 0.000], [0.279, 0.279, 0.559], [0.279, 0.721, 0.000], [0.721, 0.279, 0.000], [0.721, 0.721, 0.441], [0.792, 0.792, 0.000]]}


(13)
{"formula": "Rb2ScHF6", "functional": "GGA-PBE", "state": "relaxed", "dos_ef_per_ev_cell": 0.0, "total_energy_ev_per_atom": -5.036, "lattice_angstrom": [[-2.688, 2.688, 5.200], [2.688, -2.688, 5.200], [2.688, 2.688, -5.200]], "species": ["Rb", "Rb", "Sc", "H", "F", "F", "F", "F", "F", "F"], "frac_coords": [[0.250, 0.750, 0.500], [0.750, 0.250, 0.500], [0.000, 0.000, 0.000], [0.500, 0.500, 0.000], [0.194, 0.194, 0.000], [0.272, 0.272, 0.543], [0.272, 0.728, 0.000], [0.728, 0.272, 0.000], [0.728, 0.728, 0.457], [0.806, 0.806, 0.000]]}


(14)
{"formula": "Rb2HSeF6", "functional": "GGA-PBE", "state": "relaxed", "dos_ef_per_ev_cell": 0.0, "total_energy_ev_per_atom": -4.043, "lattice_angstrom": [[-3.318, 3.318, 3.962], [3.318, -3.318, 3.962], [3.318, 3.318, -3.962]], "species": ["Rb", "Rb", "H", "Se", "F", "F", "F", "F", "F", "F"], "frac_coords": [[0.250, 0.750, 0.500], [0.750, 0.250, 0.500], [0.000, 0.000, 0.000], [0.500, 0.500, 0.000], [0.147, 0.147, 0.000], [0.293, 0.293, 0.587], [0.293, 0.707, 0.000], [0.707, 0.293, 0.000], [0.707, 0.707, 0.413], [0.853, 0.853, 0.000]]}


(15)
{"formula": "Rb2SiH4F2", "functional": "GGA-PBE", "state": "relaxed", "dos_ef_per_ev_cell": 0.0, "total_energy_ev_per_atom": -3.885, "lattice_angstrom": [[4.929, -2.885, 0.000], [4.929, 2.885, 0.000], [-0.425, 0.000, 4.898]], "species": ["Rb", "Rb", "Si", "H", "H", "H", "H", "F", "F"], "frac_coords": [[0.176, 0.176, 0.264], [0.824, 0.824, 0.736], [0.500, 0.500, 0.000], [0.247, 0.637, 0.185], [0.363, 0.753, 0.815], [0.637, 0.247, 0.185], [0.753, 0.363, 0.815], [0.340, 0.340, 0.788], [0.660, 0.660, 0.212]]}


(16)
{"formula": "Rb3Sr2H4F3", "functional": "GGA-PBE", "state": "relaxed", "dos_ef_per_ev_cell": 0.0, "total_energy_ev_per_atom": -3.699, "lattice_angstrom": [[-2.386, 12.257, 2.410], [2.386, -12.257, 2.410], [2.386, 12.257, -2.410]], "species": ["Rb", "Rb", "Rb", "Sr", "Sr", "H", "H", "H", "H", "F", "F", "F"], "frac_coords": [[0.000, 0.000, 0.000], [0.246, 0.059, 0.187], [0.871, 0.059, 0.813], [0.470, 0.067, 0.402], [0.665, 0.067, 0.598], [0.168, 0.570, 0.598], [0.375, 0.074, 0.301], [0.772, 0.074, 0.699], [0.972, 0.570, 0.402], [0.495, 0.591, 0.905], [0.612, 0.112, 0.500], [0.686, 0.591, 0.095]]}


(17)
{"formula": "RbSrHF2", "functional": "GGA-PBE", "state": "relaxed", "dos_ef_per_ev_cell": 0.0, "total_energy_ev_per_atom": -4.332, "lattice_angstrom": [[4.783, 0.000, 0.000], [0.000, 4.783, 0.000], [0.000, 0.000, 4.806]], "species": ["Rb", "Sr", "H", "F", "F"], "frac_coords": [[0.000, 0.000, 0.000], [0.500, 0.500, 0.500], [0.500, 0.500, 0.000], [0.000, 0.500, 0.500], [0.500, 0.000, 0.500]]}


(18)
{"formula": "Rb2SrHF6", "functional": "GGA-PBE", "state": "relaxed", "dos_ef_per_ev_cell": 0.0, "total_energy_ev_per_atom": -4.126, "lattice_angstrom": [[-2.833, 2.833, 5.673], [2.833, -2.833, 5.673], [2.833, 2.833, -5.673]], "species": ["Rb", "Rb", "Sr", "H", "F", "F", "F", "F", "F", "F"], "frac_coords": [[0.250, 0.750, 0.500], [0.750, 0.250, 0.500], [0.000, 0.000, 0.000], [0.500, 0.500, 0.000], [0.207, 0.207, 0.000], [0.304, 0.304, 0.607], [0.304, 0.696, 0.000], [0.696, 0.304, 0.000], [0.696, 0.696, 0.393], [0.793, 0.793, 0.000]]}


(19)
{"formula": "Rb2TaHF6", "functional": "GGA-PBE", "state": "relaxed", "dos_ef_per_ev_cell": 0.8, "total_energy_ev_per_atom": -5.266, "lattice_angstrom": [[-3.194, 3.194, 4.644], [3.194, -3.194, 4.644], [3.194, 3.194, -4.644]], "species": ["Rb", "Rb", "Ta", "H", "F", "F", "F", "F", "F", "F"], "frac_coords": [[0.250, 0.750, 0.500], [0.750, 0.250, 0.500], [0.000, 0.000, 0.000], [0.500, 0.500, 0.000], [0.218, 0.218, 0.000], [0.220, 0.220, 0.440], [0.220, 0.780, 0.000], [0.780, 0.220, 0.000], [0.780, 0.780, 0.560], [0.782, 0.782, 0.000]]}


(20)
{"formula": "Rb2TcHF6", "functional": "GGA-PBE", "state": "relaxed", "dos_ef_per_ev_cell": 0.0, "total_energy_ev_per_atom": -4.754, "lattice_angstrom": [[-3.159, 3.159, 4.498], [3.159, -3.159, 4.498], [3.159, 3.159, -4.498]], "species": ["Rb", "Rb", "Tc", "H", "F", "F", "F", "F", "F", "F"], "frac_coords": [[0.250, 0.750, 0.500], [0.750, 0.250, 0.500], [0.000, 0.000, 0.000], [0.500, 0.500, 0.000], [0.219, 0.219, 0.000], [0.220, 0.220, 0.440], [0.220, 0.780, 0.000], [0.780, 0.220, 0.000], [0.780, 0.780, 0.560], [0.781, 0.781, 0.000]]}